The following is a GGA-PBE calculation of a relaxed SrErMg2Ag4 crystal, from Alexandria. Values from VASP.

Geometry as Quantum ESPRESSO input:
```
&SYSTEM
  ibrav = 0, nat = 8, ntyp = 4
/
ATOMIC_SPECIES
Sr 87.62 Sr.upf
Mg 24.30 Mg.upf
Ag 107.87 Ag.upf
Er 167.26 Er.upf
CELL_PARAMETERS angstrom
4.813 0.000 0.000
2.407 4.168 0.000
2.407 1.389 9.464
ATOMIC_POSITIONS crystal
Sr 0.000 0.000 0.000
Mg 0.239 0.239 0.282
Mg 0.761 0.761 0.718
Ag 0.119 0.119 0.644
Ag 0.398 0.398 0.807
Ag 0.881 0.881 0.356
Ag 0.602 0.602 0.193
Er 0.500 0.500 0.500
```

Formation energy in meV per atom: -256
Calculated total energy in eV for the cell shown: -22.89